Material: K2ZnCr2H4O10
Method: DFT, GGA-PBEsol
State: optimized geometry

Results
The volume comes out at 457.5 Å³ per cell. For the calculated total energy, the calculation gives -6.347 eV per atom.

Cell lengths 5.6390, 7.8793, 11.5500 Å; angles 75.75, 75.87, 69.03 degrees
Atoms (fractional coordinates):
K1 0.3008 0.2792 0.4531
K2 0.6992 0.7208 0.5469
K3 0.0331 0.2208 0.0469
K4 0.9669 0.7792 0.9531
Zn1 0.1411 0.7500 0.2500
Zn2 0.8589 0.2500 0.7500
Cr1 0.5315 0.0145 0.2109
Cr2 0.4685 0.9855 0.7891
Cr3 0.7568 0.4855 0.2891
Cr4 0.2432 0.5145 0.7109
H1 0.3321 0.4647 0.1351
H2 0.6679 0.5353 0.8649
H3 0.9319 0.0353 0.3649
H4 0.0681 0.9647 0.6351
H5 0.4987 0.5970 0.0998
H6 0.5013 0.4030 0.9002
H7 0.1955 0.9030 0.4002
H8 0.8045 0.0970 0.5998
O1 0.4704 0.9669 0.3594
O2 0.5296 0.0331 0.6406
O3 0.7966 0.5331 0.1406
O4 0.2034 0.4669 0.8594
O5 0.4257 0.2380 0.1649
O6 0.5743 0.7620 0.8351
O7 0.8286 0.2620 0.3351
O8 0.1714 0.7380 0.6649
O9 0.4502 0.5828 0.3430
O10 0.5498 0.4172 0.6570
O11 0.3760 0.9172 0.1570
O12 0.6240 0.0828 0.8430
O13 0.1515 0.0673 0.8381
O14 0.8485 0.9327 0.1619
O15 0.0570 0.4327 0.6619
O16 0.9430 0.5673 0.3381
O17 0.3158 0.5999 0.1091
O18 0.6842 0.4001 0.8909
O19 0.0249 0.9001 0.3909
O20 0.9751 0.0999 0.6091